Below is a geometry-optimized ReIr6Ru structure, with properties calculated at the GGA-PBE level.

a b c (Å): 6.9771 6.9771 9.8469
angles (deg): 90.00 90.00 120.00
Space group R-3m (No. 166, hexagonal axes)
Inequivalent atoms, fractional coordinates:
Re  0.0000  0.0000  0.0000 x3
Ir  0.0789  0.5394  0.3814 x18
Ru  0.0000  0.0000  0.5000 x3

Calculated total energy ... -0.311 Ha/atom
N(E_F) ... 1.5203 states/eV/atom
Formation energy ... 0.911 eV/atom